1.
Density functional theory data (PBE-GGA) for Y2SiSeCl after structural relaxation.

a = 5.441 Å, b = 5.441 Å, c = 4.688 Å
α = 90.00°, β = 90.00°, γ = 90.00°
Space group P4/mmm (No. 123)
Asymmetric unit:
Y 0.000 0.500 0.000 [2 per cell]
Si 0.000 0.000 0.500 [1 per cell]
Se 0.000 0.000 0.000 [1 per cell]
Cl 0.500 0.500 0.500 [1 per cell]

Values from the calculation:
magnetic moment	0.03	μB per atom
formation energy from raw total energies	-0.267	eV per atom

=====

2.
Density functional theory data (PBE-GGA) for Sm6Se5Cl after structural relaxation.

a = 7.279 Å, b = 12.453 Å, c = 7.172 Å
α = 90.00°, β = 109.05°, γ = 90.00°
Space group C2/m (No. 12)
Asymmetric unit:
Sm 0.231 0.000 0.251 [4 per cell]
Sm 0.235 0.174 0.736 [8 per cell]
Se 0.000 0.000 0.500 [2 per cell]
Se 0.000 0.171 0.000 [4 per cell]
Se 0.000 0.342 0.500 [4 per cell]
Cl 0.000 0.500 0.000 [2 per cell]

Values from the calculation:
magnetic moment	0.00	μB per atom
formation energy from raw total energies	-1.725	eV per atom

=====

3.
Density functional theory data (PBE-GGA) for Sm2SeCl after structural relaxation.

a = 4.2147 Å, b = 4.2147 Å, c = 19.2716 Å
α = 90.00°, β = 90.00°, γ = 120.00°
Space group R-3m (No. 166, hexagonal axes)
Asymmetric unit:
Sm 0.0000 0.0000 0.2472 [6 per cell]
Se 0.0000 0.0000 0.5000 [3 per cell]
Cl 0.0000 0.0000 0.0000 [3 per cell]

Values from the calculation:
magnetic moment	0.00	μB per atom
formation energy from raw total energies	-1.518	eV per atom

=====

4.
Density functional theory data (PBE-GGA) for Sm2SeCl after structural relaxation.

a = 3.8829 Å, b = 3.8829 Å, c = 23.2173 Å
α = 90.00°, β = 90.00°, γ = 120.00°
Space group R3m (No. 160, hexagonal axes)
Asymmetric unit:
Sm 0.0000 0.0000 0.0000 [3 per cell]
Sm 0.0000 0.0000 0.1784 [3 per cell]
Se 0.0000 0.0000 0.5902 [3 per cell]
Cl 0.0000 0.0000 0.7556 [3 per cell]

Values from the calculation:
magnetic moment	0.00	μB per atom
formation energy from raw total energies	-1.498	eV per atom

=====

5.
Density functional theory data (PBE-GGA) for Sm2Se3Cl after structural relaxation.

a = 7.8209 Å, b = 7.8209 Å, c = 18.9756 Å
α = 90.00°, β = 90.00°, γ = 120.00°
Space group R-3c (No. 167, hexagonal axes)
Asymmetric unit:
Sm 0.0000 0.0000 0.1426 [12 per cell]
Se 0.0000 0.2775 0.2500 [18 per cell]
Cl 0.0000 0.0000 0.0000 [6 per cell]

Values from the calculation:
magnetic moment	0.00	μB per atom
formation energy from raw total energies	-1.539	eV per atom

=====

6.
Density functional theory data (PBE-GGA) for Sm4Se3Cl4 after structural relaxation.

a = 3.770 Å, b = 8.386 Å, c = 16.973 Å
α = 90.00°, β = 90.00°, γ = 90.00°
Space group Immm (No. 71)
Asymmetric unit:
Sm 0.000 0.000 0.231 [4 per cell]
Sm 0.000 0.230 0.000 [4 per cell]
Se 0.000 0.000 0.500 [2 per cell]
Se 0.000 0.500 0.405 [4 per cell]
Cl 0.000 0.315 0.174 [8 per cell]

Values from the calculation:
magnetic moment	0.00	μB per atom
formation energy from raw total energies	-1.940	eV per atom